The following is a DFT calculation (GGA-PBEsol) of a relaxed Tb2MnSbO7 crystal.

The value obtained for the formation energy (no corrections) is -2.537 eV per atom. As for the crystal system: orthorhombic.

The space group is Imma (No. 74) and the conventional cell measures 7.102, 7.348 and 10.214 Å, with angles of 90.00, 90.00 and 90.00 degrees. The inequivalent atoms are Tb at (0.000, 0.000, 0.000), Tb at (0.250, 0.250, 0.250), Mn at (0.250, 0.250, 0.750), Sb at (0.000, 0.000, 0.500), O at (0.000, 0.250, 0.124), O at (0.000, 0.250, 0.418), O at (0.000, 0.250, 0.830) and O at (0.209, 0.036, 0.626).

---

The following is a DFT calculation (GGA-PBEsol) of a relaxed MgIr2Au crystal.

The energy of formation from the pure elements is 49 meV per atom. As for the crystal system: orthorhombic.

The space group is Cmmm (No. 65) and the conventional cell measures 5.542, 7.673 and 2.834 Å, with angles of 90.00, 90.00 and 90.00 degrees. The inequivalent atoms are Mg at (0.000, 0.000, 0.000), Ir at (0.250, 0.250, 0.500) and Au at (0.000, 0.500, 0.000).

---

Ordered final energy results: -356.0, -50.2; unit eV per cell.
Ordered N(E_F) results: 2.509, 3.241; unit states/eV/f.u..
Ordered volume results: 533.08, 120.50; unit Å³ per cell.